Record 1
Entry from Alexandria via LeMat-Bulk: a relaxed structure of V2Ni2Pd7 (PBE-GGA).

Output
Energy of formation in eV per atom: -0.12

Cell: 6.514 5.111 5.111 Å, 98.27 101.97 101.97°
Atoms (fractional coordinates):
Pd1 0.552 0.815 0.815
Pd2 0.168 0.514 0.882
Pd3 0.448 0.185 0.185
Pd4 0.832 0.118 0.486
Pd5 0.832 0.486 0.118
Pd6 0.000 0.000 0.000
Ni1 0.500 0.712 0.288
V1 0.211 0.405 0.405
V2 0.789 0.595 0.595
Ni2 0.500 0.288 0.712
Pd7 0.168 0.882 0.514

Record 2
Entry from Alexandria via LeMat-Bulk: a relaxed structure of TaZn5Au4 (PBE-GGA).

Output
Energy of formation in eV per atom: -0.15

Cell: 2.914 2.914 19.118 Å, 90.00 90.00 90.00°
Atoms (fractional coordinates):
Zn1 0.500 0.500 0.699
Ta1 0.000 0.000 0.000
Au1 0.000 0.000 0.798
Zn2 0.500 0.500 0.898
Zn3 0.500 0.500 0.500
Zn4 0.500 0.500 0.301
Au2 0.000 0.000 0.401
Au3 0.000 0.000 0.599
Au4 0.000 0.000 0.202
Zn5 0.500 0.500 0.102

Record 3
Entry from Alexandria via LeMat-Bulk: a relaxed structure of Hf2Tc3Os (PBE-GGA).

Output
Energy of formation in eV per atom: -0.34

Cell: 5.193 5.193 5.285 Å, 89.90 119.49 120.05°
Atoms (fractional coordinates):
Tc1 0.500 0.500 0.500
Os1 0.000 0.000 0.000
Hf1 0.250 0.625 0.875
Hf2 0.750 0.375 0.125
Tc2 0.000 0.000 0.500
Tc3 0.500 0.000 0.500

Record 4
Entry from Alexandria via LeMat-Bulk: a relaxed structure of Ac6BiTe5 (PBE-GGA).

Output
Formation energy without anion corrections in meV/atom: -1420

Cell: 8.251 8.230 8.233 Å, 60.01 80.43 70.58°
Atoms (fractional coordinates):
Ac1 0.749 0.418 0.666
Ac2 0.251 0.916 0.666
Te1 0.500 0.834 0.331
Te2 0.500 0.166 0.669
Ac3 0.749 0.084 0.334
Bi1 0.000 0.000 0.000
Te3 0.000 0.667 0.666
Te4 0.500 0.500 0.000
Te5 0.000 0.333 0.334
Ac4 0.251 0.582 0.334
Ac5 0.750 0.749 0.000
Ac6 0.250 0.251 0.000

Record 5
Entry from Alexandria via LeMat-Bulk: a relaxed structure of Al2Zn2Sb (PBE-GGA).

Output
Formation energy without anion corrections in meV/atom: 149

Cell: 7.802 7.802 3.117 Å, 90.00 90.00 90.00°
Atoms (fractional coordinates):
Sb1 0.500 0.500 0.000
Al1 0.123 0.377 0.000
Al2 0.623 0.123 0.000
Zn1 0.823 0.323 0.500
Al3 0.877 0.623 0.000
Zn2 0.677 0.823 0.500
Sb2 0.000 0.000 0.000
Al4 0.377 0.877 0.000
Zn3 0.177 0.677 0.500
Zn4 0.323 0.177 0.500

Record 6
Entry from Alexandria via LeMat-Bulk: a relaxed structure of MgVCu (PBE-GGA).

Output
Energy of formation in eV per atom: 0.16

Cell: 7.199 2.728 9.183 Å, 90.00 90.00 90.00°
Atoms (fractional coordinates):
Mg1 0.337 0.250 0.093
Cu1 0.863 0.250 0.702
Mg2 0.663 0.750 0.907
Cu2 0.363 0.250 0.798
Mg3 0.163 0.750 0.593
V1 0.066 0.750 0.902
V2 0.566 0.750 0.598
V3 0.934 0.250 0.098
Cu3 0.137 0.750 0.298
Cu4 0.637 0.750 0.202
V4 0.434 0.250 0.402
Mg4 0.837 0.250 0.407

Record 7
Entry from Alexandria via LeMat-Bulk: a relaxed structure of Rb3MgNp3S8 (PBE-GGA).

Output
Formation energy without anion corrections in meV/atom: -1354

Cell: 8.013 8.028 12.018 Å, 131.37 90.00 119.94°
Atoms (fractional coordinates):
Mg1 0.000 0.000 0.500
S1 0.043 0.085 0.314
S2 0.544 0.087 0.314
Rb1 0.000 0.500 0.000
S3 0.952 0.406 0.682
Rb2 0.500 0.500 0.000
S4 0.957 0.915 0.686
S5 0.048 0.594 0.318
S6 0.456 0.913 0.686
Np1 0.500 0.500 0.500
S7 0.546 0.594 0.318
S8 0.454 0.406 0.682
Rb3 0.000 0.000 0.000
Np2 0.500 0.000 0.500
Np3 0.000 0.500 0.500

Record 8
Entry from Alexandria via LeMat-Bulk: a relaxed structure of PmAlZn17 (PBE-GGA).

Output
Energy of formation in eV per atom: -0.09

Cell: 6.834 6.834 6.834 Å, 81.57 81.57 81.57°
Atoms (fractional coordinates):
Zn1 0.342 0.342 0.840
Zn2 0.667 0.014 0.305
Zn3 0.902 0.902 0.902
Zn4 0.983 0.494 0.983
Zn5 0.305 0.014 0.667
Zn6 0.840 0.342 0.342
Zn7 0.305 0.667 0.014
Zn8 0.342 0.840 0.342
Zn9 0.163 0.658 0.658
Zn10 0.658 0.163 0.658
Zn11 0.097 0.097 0.097
Pm1 0.661 0.661 0.661
Zn12 0.014 0.667 0.305
Zn13 0.658 0.658 0.163
Zn14 0.014 0.305 0.667
Zn15 0.667 0.305 0.014
Zn16 0.983 0.983 0.494
Zn17 0.494 0.983 0.983
Al1 0.408 0.408 0.408

| no. | raw total energy (eV per atom) |
| --- | --- |
| 1 | -6.131 |
| 2 | -3.279 |
| 3 | -10.716 |
| 4 | -5.107 |
| 5 | -2.682 |
| 6 | -4.779 |
| 7 | -6.443 |
| 8 | -1.679 |